[1]
{
  "formula": "KBrCl2",
  "functional": "PBE",
  "state": "optimized geometry",
  "e_form_raw_mev_per_atom": -579,
  "e_tot_ev_per_atom": -2.194,
  "magnetic_moment_mub_per_atom": 0.5000,
  "lattice_angstrom": [[-4.1753, -3.2151, 1.3481], [-4.9351, 0.9319, -2.0888], [-2.0905, -3.4259, -3.6715]],
  "species": ["K", "Br", "Cl", "Cl"],
  "fractional_positions": [[0.0000, 0.0000, 0.0000], [0.5000, 0.5000, 0.5000], [0.2500, 0.2500, 0.2500], [0.7500, 0.7500, 0.7500]]
}

[2]
{
  "formula": "KBrCl2",
  "functional": "PBE",
  "state": "optimized geometry",
  "e_form_raw_mev_per_atom": -785,
  "e_tot_ev_per_atom": -2.401,
  "magnetic_moment_mub_per_atom": 0.0000,
  "lattice_angstrom": [[-1.9750, -5.2266, -1.3266], [5.3637, -2.0421, 0.1945], [0.8369, -3.6038, 3.5073]],
  "species": ["K", "Br", "Cl", "Cl"],
  "fractional_positions": [[0.5000, 0.0000, 0.5000], [0.0000, 0.5000, 0.5000], [0.0000, 0.0000, 0.0000], [0.5000, 0.5000, 0.0000]]
}